[1]
Here is a relaxed Tb2MgAg3Se6 crystal from the Alexandria database. Energies are from GGA-PBE.

a b c (Å): 4.080 7.602 9.938
angles (deg): 103.21 101.85 90.00
Fractional positions:
Se  0.642  0.069  0.283
Se  0.008  0.267  0.016
Se  0.992  0.733  0.984
Mg  0.500  0.000  0.000
Ag  0.852  0.175  0.704
Ag  0.148  0.825  0.296
Tb  0.161  0.339  0.322
Se  0.686  0.615  0.372
Se  0.314  0.385  0.628
Ag  0.500  0.500  0.000
Tb  0.839  0.661  0.678
Se  0.358  0.931  0.717

Output
- formation energy from raw total energies (eV per atom) = -0.95
- density of states at the Fermi level (states/eV per atom) = 0.45
- density (g/cm3) = 6.45

***

[2]
Here is a relaxed NaTeIN2 crystal from the Alexandria database. Energies are from GGA-PBE.

a b c (Å): 4.655 4.655 6.516
angles (deg): 90.00 90.00 90.00
Site moments in Bohr magnetons follow the coordinates.
Fractional positions:
N  0.500  0.000  0.000  1.68
N  0.000  0.500  0.000  1.68
Na  0.000  0.000  0.000  0.01
I  0.500  0.500  0.500  0.05
Te  0.000  0.000  0.500  0.11

Output
- formation energy from raw total energies (eV per atom) = 1.72
- density of states at the Fermi level (states/eV per atom) = 0.53
- density (g/cm3) = 3.59
- E above lowest polymorph (eV per atom) = 0.887

***

[3]
Here is a relaxed TiCoAsBr2 crystal from the Alexandria database. Energies are from GGA-PBE.

a b c (Å): 4.957 4.957 5.183
angles (deg): 90.00 90.00 90.00
Site moments in Bohr magnetons follow the coordinates.
Fractional positions:
Br  0.000  0.500  0.000  0.00
Co  0.500  0.500  0.500  2.29
As  0.000  0.000  0.500  -0.08
Br  0.500  0.000  0.000  0.00
Ti  0.000  0.000  0.000  0.33

Output
- formation energy from raw total energies (eV per atom) = 0.37
- density of states at the Fermi level (states/eV per atom) = 1.27
- density (g/cm3) = 4.45
- E above lowest polymorph (eV per atom) = 0.000

***

[4]
Here is a relaxed Sn2HgI6 crystal from the Alexandria database. Energies are from GGA-PBE.

a b c (Å): 4.499 8.509 11.465
angles (deg): 108.61 90.00 105.33
Fractional positions:
I  0.363  0.726  0.457
I  0.019  0.037  0.775
I  0.981  0.963  0.225
Sn  0.666  0.333  0.831
I  0.313  0.626  0.877
Hg  0.000  0.000  0.500
I  0.687  0.374  0.123
I  0.637  0.274  0.543
Sn  0.334  0.667  0.169

Output
- formation energy from raw total energies (eV per atom) = -0.40
- density (g/cm3) = 4.99

***

[5]
Here is a relaxed CdAg2Br5 crystal from the Alexandria database. Energies are from GGA-PBE.

a b c (Å): 8.260 12.262 11.586
angles (deg): 90.00 90.00 90.00
Fractional positions:
Br  0.260  0.228  0.119
Br  0.240  0.272  0.619
Br  0.500  0.429  0.363
Br  0.500  0.399  0.903
Ag  0.254  0.500  0.500
Br  0.000  0.899  0.597
Cd  0.000  0.740  0.758
Br  0.000  0.551  0.648
Cd  0.500  0.240  0.742
Br  0.500  0.949  0.148
Br  0.760  0.728  0.381
Br  0.000  0.071  0.863
Br  0.000  0.449  0.352
Cd  0.000  0.260  0.242
Br  0.260  0.772  0.881
Br  0.740  0.772  0.881
Br  0.500  0.571  0.637
Br  0.000  0.929  0.137
Ag  0.500  0.383  0.138
Br  0.500  0.601  0.097
Ag  0.500  0.617  0.862
Ag  0.754  0.000  0.000
Br  0.760  0.272  0.619
Ag  0.246  0.000  0.000
Ag  0.000  0.117  0.638
Cd  0.500  0.760  0.258
Ag  0.000  0.883  0.362
Br  0.500  0.051  0.852
Br  0.740  0.228  0.119
Br  0.240  0.728  0.381
Ag  0.746  0.500  0.500
Br  0.000  0.101  0.403

Output
- formation energy from raw total energies (eV per atom) = -0.45
- density of states at the Fermi level (states/eV per atom) = 0.52
- density (g/cm3) = 4.12

***

[6]
Here is a relaxed MgBeI4 crystal from the Alexandria database. Energies are from GGA-PBE.

a b c (Å): 7.829 7.829 10.910
angles (deg): 90.00 90.00 90.00
Fractional positions:
Mg  0.000  0.000  0.000
I  0.233  0.730  0.000
I  0.730  0.767  0.500
Be  0.000  0.500  0.000
I  0.767  0.730  0.000
Mg  0.000  0.000  0.500
I  0.270  0.767  0.500
Be  0.500  0.000  0.500
I  0.730  0.233  0.500
I  0.233  0.270  0.000
I  0.270  0.233  0.500
I  0.767  0.270  0.000

Output
- formation energy from raw total energies (eV per atom) = -0.50
- density of states at the Fermi level (states/eV per atom) = 0.00
- density (g/cm3) = 2.69

***

[7]
Here is a relaxed AlCr2S crystal from the Alexandria database. Energies are from GGA-PBE.

a b c (Å): 4.151 4.151 4.151
angles (deg): 60.00 60.00 60.00
Site moments in Bohr magnetons follow the coordinates.
Fractional positions:
S  0.500  0.500  0.500  -0.08
Al  0.000  0.000  0.000  -0.04
Cr  0.750  0.750  0.750  1.12
Cr  0.250  0.250  0.250  1.12

Output
- formation energy from raw total energies (eV per atom) = 0.32
- density of states at the Fermi level (states/eV per atom) = 1.23
- density (g/cm3) = 5.35
- E above lowest polymorph (eV per atom) = 0.110

***

[8]
Here is a relaxed AcHo12Tm7 crystal from the Alexandria database. Energies are from GGA-PBE.

a b c (Å): 8.656 8.656 8.656
angles (deg): 87.58 87.58 87.58
Fractional positions:
Ho  0.379  0.863  0.504
Tm  0.155  0.392  0.061
Ho  0.276  0.725  0.852
Tm  0.939  0.845  0.608
Ho  0.137  0.496  0.621
Tm  0.608  0.939  0.845
Ho  0.275  0.148  0.724
Ho  0.621  0.137  0.496
Ho  0.852  0.276  0.725
Tm  0.845  0.608  0.939
Ho  0.496  0.621  0.137
Tm  0.500  0.500  0.500
Ho  0.504  0.379  0.863
Ho  0.148  0.724  0.275
Ho  0.724  0.275  0.148
Tm  0.392  0.061  0.155
Ho  0.725  0.852  0.276
Tm  0.061  0.155  0.392
Ho  0.863  0.504  0.379
Ac  0.000  0.000  0.000

Output
- density of states at the Fermi level (states/eV per atom) = 1.86
- density (g/cm3) = 8.70
- E above lowest polymorph (eV per atom) = 0.000
- energy of formation from the pure elements (meV/atom) = 243

***

[9]
Here is a relaxed TcRhW2 crystal from the Alexandria database. Energies are from GGA-PBE.

a b c (Å): 4.438 4.438 4.438
angles (deg): 60.00 60.00 60.00
Fractional positions:
Rh  0.500  0.500  0.500
Tc  0.000  0.000  0.000
W  0.750  0.750  0.750
W  0.250  0.250  0.250

Output
- density of states at the Fermi level (states/eV per atom) = 2.09
- density (g/cm3) = 15.28
- E above lowest polymorph (eV per atom) = 0.258
- energy of formation from the pure elements (meV/atom) = 265

***

[10]
Here is a relaxed MnBeHg2 crystal from the Alexandria database. Energies are from GGA-PBE.

a b c (Å): 9.214 9.214 9.214
angles (deg): 18.90 18.90 18.90
Site moments in Bohr magnetons follow the coordinates.
Fractional positions:
Be  0.241  0.241  0.241  -0.07
Mn  0.513  0.513  0.513  3.48
Hg  0.985  0.985  0.985  -0.01
Hg  0.760  0.760  0.760  0.02

Output
- density of states at the Fermi level (states/eV per atom) = 0.80
- density (g/cm3) = 10.77
- energy of formation from the pure elements (meV/atom) = 458

***

[11]
Here is a relaxed K3NaPd crystal from the Alexandria database. Energies are from GGA-PBE.

a b c (Å): 6.348 6.348 6.348
angles (deg): 90.00 90.00 90.00
Fractional positions:
Pd  0.000  0.000  0.000
K  0.000  0.000  0.500
Na  0.500  0.500  0.500
K  0.500  0.000  0.000
K  0.000  0.500  0.000

Output
- density of states at the Fermi level (states/eV per atom) = 0.03
- density (g/cm3) = 1.60
- E above lowest polymorph (eV per atom) = 0.000
- energy of formation from the pure elements (meV/atom) = 80

***

[12]
Here is a relaxed PmTm2Ir crystal from the Alexandria database. Energies are from GGA-PBE.

a b c (Å): 3.444 3.444 8.807
angles (deg): 90.00 90.00 90.00
Fractional positions:
Tm  0.000  0.000  0.817
Tm  0.000  0.000  0.183
Ir  0.500  0.500  0.000
Pm  0.500  0.500  0.500

Output
- density of states at the Fermi level (states/eV per atom) = 1.22
- density (g/cm3) = 10.73
- E above lowest polymorph (eV per atom) = 0.105
- energy of formation from the pure elements (meV/atom) = -473

***

[13]
Here is a relaxed FeOs2Rh crystal from the Alexandria database. Energies are from GGA-PBE.

a b c (Å): 4.122 2.701 5.110
angles (deg): 74.67 90.00 90.00
Site moments in Bohr magnetons follow the coordinates.
Fractional positions:
Rh  0.000  0.544  0.536  0.11
Fe  0.500  0.943  0.738  1.83
Os  0.500  0.204  0.217  -0.22
Os  0.000  0.808  0.009  -0.06

Output
- density of states at the Fermi level (states/eV per atom) = 1.10
- density (g/cm3) = 16.32
- E above lowest polymorph (eV per atom) = 0.058
- energy of formation from the pure elements (meV/atom) = 137

***

[14]
Here is a relaxed NdSmFe crystal from the Alexandria database. Energies are from GGA-PBE.

a b c (Å): 3.475 3.475 7.033
angles (deg): 104.30 104.30 90.00
Site moments in Bohr magnetons follow the coordinates.
Fractional positions:
Fe  0.665  0.665  0.330  1.83
Nd  0.294  0.294  0.588  -0.23
Sm  0.041  0.041  0.081  -0.24

Output
- density of states at the Fermi level (states/eV per atom) = 1.28
- density (g/cm3) = 7.31
- E above lowest polymorph (eV per atom) = 0.000
- energy of formation from the pure elements (meV/atom) = 163

***

[15]
Here is a relaxed InBiS crystal from the Alexandria database. Energies are from GGA-PBE.

a b c (Å): 4.134 8.208 6.805
angles (deg): 114.98 107.68 90.00
Fractional positions:
Bi  0.346  0.068  0.693
In  0.680  0.599  0.360
S  0.885  0.615  0.770
Bi  0.654  0.932  0.307
S  0.115  0.385  0.230
In  0.320  0.401  0.640

Output
- formation energy from raw total energies (eV per atom) = -0.31
- density (g/cm3) = 5.99
- E above lowest polymorph (eV per atom) = 0.000

***

[16]
Here is a relaxed NdHo2UN4 crystal from the Alexandria database. Energies are from GGA-PBE.

a b c (Å): 3.490 6.071 6.016
angles (deg): 109.07 90.00 90.00
Site moments in Bohr magnetons follow the coordinates.
Fractional positions:
Ho  0.500  0.000  0.500  0.03
N  0.000  0.777  0.246  -0.03
Nd  0.500  0.500  0.000  0.03
N  0.500  0.235  0.247  -0.05
U  0.000  0.000  0.000  1.28
N  0.500  0.765  0.753  -0.05
Ho  0.000  0.500  0.500  0.09
N  0.000  0.223  0.754  -0.03

Output
- formation energy from raw total energies (eV per atom) = -1.54
- density of states at the Fermi level (states/eV per atom) = 0.56
- density (g/cm3) = 10.59

***

[17]
Here is a relaxed SmGa3IrPd crystal from the Alexandria database. Energies are from GGA-PBE.

a b c (Å): 5.820 8.052 6.795
angles (deg): 126.33 90.00 90.00
Fractional positions:
Ga  0.000  0.248  0.000
Ga  0.500  0.248  0.000
Pd  0.750  0.528  0.056
Pd  0.250  0.472  0.944
Ga  0.750  0.746  0.491
Ir  0.750  0.963  0.927
Ga  0.250  0.254  0.509
Ga  0.000  0.752  0.000
Ga  0.500  0.752  0.000
Ir  0.250  0.037  0.073
Sm  0.250  0.765  0.531
Sm  0.750  0.235  0.469

Output
- density of states at the Fermi level (states/eV per atom) = 0.54
- density (g/cm3) = 8.52
- energy of formation from the pure elements (meV/atom) = -416

***

[18]
Here is a relaxed Cs3CdSe crystal from the Alexandria database. Energies are from GGA-PBE.

a b c (Å): 7.011 7.011 7.011
angles (deg): 90.00 90.00 90.00
Fractional positions:
Cd  0.500  0.500  0.500
Se  0.000  0.000  0.000
Cs  0.000  0.500  0.000
Cs  0.000  0.000  0.500
Cs  0.500  0.000  0.000

Output
- formation energy from raw total energies (eV per atom) = -0.51
- density of states at the Fermi level (states/eV per atom) = 0.79
- density (g/cm3) = 2.84
- E above lowest polymorph (eV per atom) = 0.000

***

[19]
Here is a relaxed CdCl2 crystal from the Alexandria database. Energies are from GGA-PBE.

a b c (Å): 3.900 3.900 19.051
angles (deg): 84.17 84.17 60.00
Fractional positions:
Cd  0.444  0.444  0.667
Cl  0.752  0.752  0.743
Cd  0.556  0.556  0.333
Cl  0.248  0.248  0.257
Cl  0.135  0.135  0.591
Cl  0.865  0.865  0.409
Cl  0.359  0.359  0.924
Cl  0.641  0.641  0.076
Cd  0.000  0.000  0.000

Output
- formation energy from raw total energies (eV per atom) = -1.09
- density of states at the Fermi level (states/eV per atom) = 0.00
- density (g/cm3) = 3.66

***

[20]
Here is a relaxed Hf5FePd crystal from the Alexandria database. Energies are from GGA-PBE.

a b c (Å): 5.259 5.259 10.635
angles (deg): 78.11 78.11 78.23
Fractional positions:
Hf  0.531  0.216  0.064
Hf  0.986  0.014  0.750
Hf  0.216  0.531  0.564
Hf  0.568  0.915  0.627
Pd  0.589  0.411  0.750
Hf  0.085  0.432  0.873
Hf  0.014  0.986  0.250
Hf  0.915  0.568  0.127
Hf  0.469  0.784  0.936
Hf  0.432  0.085  0.373
Fe  0.000  0.000  0.000
Hf  0.784  0.469  0.436
Pd  0.411  0.589  0.250
Fe  0.000  0.000  0.500

Output
- density of states at the Fermi level (states/eV per atom) = 1.10
- density (g/cm3) = 12.62
- energy of formation from the pure elements (meV/atom) = -69

***

[21]
Here is a relaxed RbAcMgSe3 crystal from the Alexandria database. Energies are from GGA-PBE.

a b c (Å): 4.530 9.733 10.408
angles (deg): 103.90 90.00 90.00
Fractional positions:
Mg  0.250  0.081  0.603
Ac  0.250  0.662  0.151
Se  0.250  0.554  0.847
Se  0.750  0.883  0.148
Se  0.250  0.117  0.852
Rb  0.750  0.813  0.788
Se  0.250  0.816  0.470
Ac  0.750  0.338  0.849
Se  0.750  0.184  0.530
Mg  0.750  0.919  0.397
Se  0.750  0.446  0.153
Rb  0.250  0.187  0.212

Output
- formation energy from raw total energies (eV per atom) = -1.59
- density of states at the Fermi level (states/eV per atom) = 0.00
- density (g/cm3) = 4.28

***

[22]
Here is a relaxed Pm8Tm2Sc crystal from the Alexandria database. Energies are from GGA-PBE.

a b c (Å): 5.709 10.091 10.091
angles (deg): 40.48 92.65 92.65
Fractional positions:
Pm  0.767  0.455  0.455
Pm  0.738  0.395  0.865
Tm  0.740  0.284  0.284
Tm  0.260  0.716  0.716
Pm  0.262  0.135  0.605
Pm  0.229  0.184  0.184
Pm  0.262  0.605  0.135
Pm  0.771  0.816  0.816
Pm  0.233  0.545  0.545
Pm  0.738  0.865  0.395
Sc  0.000  0.000  0.000

Output
- density of states at the Fermi level (states/eV per atom) = 1.55
- density (g/cm3) = 6.80
- E above lowest polymorph (eV per atom) = 0.069
- energy of formation from the pure elements (meV/atom) = 182

***

[23]
Here is a relaxed Ho4TlGa crystal from the Alexandria database. Energies are from GGA-PBE.

a b c (Å): 5.037 5.038 7.169
angles (deg): 89.98 89.99 90.00
Fractional positions:
Ho  0.501  0.998  0.736
Ga  0.001  0.997  0.498
Ho  0.001  0.497  0.736
Ho  0.501  0.997  0.261
Ho  0.001  0.497  0.261
Tl  0.501  0.497  0.998

Output
- density of states at the Fermi level (states/eV per atom) = 1.25
- density (g/cm3) = 8.52
- energy of formation from the pure elements (meV/atom) = -141

***

[24]
Here is a relaxed ZnIr4Os crystal from the Alexandria database. Energies are from GGA-PBE.

a b c (Å): 2.739 3.865 8.194
angles (deg): 90.00 90.00 90.00
Fractional positions:
Ir  0.000  0.500  0.337
Zn  0.000  0.500  0.000
Ir  0.500  0.000  0.166
Os  0.500  0.000  0.500
Ir  0.000  0.500  0.663
Ir  0.500  0.000  0.834

Output
- density of states at the Fermi level (states/eV per atom) = 1.11
- density (g/cm3) = 19.61
- E above lowest polymorph (eV per atom) = 0.000
- energy of formation from the pure elements (meV/atom) = 36